Density functional theory data (PBE) for a relaxed Hf2UZn crystal.

Cell: 3.019 3.019 8.901 Å, 90.00 90.00 90.00°
Element x y z (fractional)
U  0.500  0.500  0.000
Hf  0.000  0.000  0.726
Hf  0.000  0.000  0.274
Zn  0.500  0.500  0.500

Summary:
Energy relative to the lowest polymorph listed for this composition (meV/atom): 0.0
Space group: P4/mmm